Entry 1:
A plane-wave DFT calculation with PBE was carried out for crystalline CsNiAs at its relaxed geometry.

The value obtained for the total moment is 0.00 μB/cell. The value obtained for the formation energy is -0.3127 eV/atom. As for the crystal system: monoclinic. The space group is P2_1/c (14).

a = 7.5250 Å, b = 6.8434 Å, c = 7.6282 Å
α = 90.00°, β = 116.80°, γ = 90.00°
Fractional positions:
Cs1 0.1605 0.1251 0.3692
Cs2 0.1605 0.3749 0.8692
Cs3 0.8395 0.6251 0.1308
Cs4 0.8395 0.8749 0.6308
Ni1 0.4440 0.6154 0.3512
Ni2 0.4440 0.8846 0.8512
Ni3 0.5560 0.1154 0.1488
Ni4 0.5560 0.3846 0.6488
As1 0.3642 0.6577 0.6074
As2 0.3642 0.8423 0.1074
As3 0.6358 0.1577 0.8926
As4 0.6358 0.3423 0.3926

Entry 2:
A plane-wave DFT calculation with PBE was carried out for crystalline CoPbBr2 at its relaxed geometry.

The value obtained for the total moment is 2.41 μB/cell. The value obtained for the raw formation energy is -14 kJ per mole of atoms. As for the crystal system: trigonal. Its energy relative to the lowest polymorph listed for this composition is 0.041 eV per atom. The space group is R-3m (166).

a = 9.1043 Å, b = 9.1043 Å, c = 9.1043 Å
α = 22.93°, β = 22.93°, γ = 22.93°
Fractional positions:
Co1 0.0000 0.0000 0.0000
Pb1 0.5000 0.5000 0.5000
Br1 0.2769 0.2769 0.2769
Br2 0.7231 0.7231 0.7231

Repeat the first record exactly.
A plane-wave DFT calculation with PBE was carried out for crystalline CsNiAs at its relaxed geometry.

The value obtained for the total moment is 0.00 μB/cell. The value obtained for the formation energy is -0.3127 eV/atom. As for the crystal system: monoclinic. The space group is P2_1/c (14).

a = 7.5250 Å, b = 6.8434 Å, c = 7.6282 Å
α = 90.00°, β = 116.80°, γ = 90.00°
Fractional positions:
Cs1 0.1605 0.1251 0.3692
Cs2 0.1605 0.3749 0.8692
Cs3 0.8395 0.6251 0.1308
Cs4 0.8395 0.8749 0.6308
Ni1 0.4440 0.6154 0.3512
Ni2 0.4440 0.8846 0.8512
Ni3 0.5560 0.1154 0.1488
Ni4 0.5560 0.3846 0.6488
As1 0.3642 0.6577 0.6074
As2 0.3642 0.8423 0.1074
As3 0.6358 0.1577 0.8926
As4 0.6358 0.3423 0.3926

- Among the records above, which one has the highest total moment?
  CoPbBr2

- Which of these has the lowest total moment?
  CsNiAs